i.
The following is a GGA-PBE calculation of crystalline TbThPb at its relaxed geometry, from Alexandria via LeMat-Bulk.

abc: 5.4783 5.4783 3.5875
angles: 90.00 90.00 120.00
Last column: nearest neighbours and their distance in Å.
Space group P3m1 (No. 156)
Unique sites:
Tb 0.0000 0.0000 0.0000  3 Pb 3.24, 2 Tb 3.59, 3 Th 3.59
Th 0.3333 0.6667 0.5253  3 Pb 3.38, 2 Th 3.59, 6 Tb 3.59-3.68
Pb 0.6667 0.3333 0.1941  3 Tb 3.24, 3 Th 3.38, 2 Pb 3.59

Computed properties:
- Total magnetization: 0.0 μB per formula unit
- Fermi-level density of states: 3.543 states/eV/f.u.
- Volume: 31.081 Å³ per atom

ii.
The following is a GGA-PBE calculation of crystalline TbThPb at its relaxed geometry, from Alexandria via LeMat-Bulk.

abc: 4.5868 4.5868 17.7314
angles: 90.00 90.00 90.00
Last column: nearest neighbours and their distance in Å.
Space group I4/mmm (No. 139)
Unique sites:
Tb 0.0000 0.0000 0.1740  5 Pb 3.20-3.28
Th 0.0000 0.5000 0.0000  4 Th 3.24, 4 Pb 3.45
Pb 0.0000 0.0000 0.3546  5 Tb 3.20-3.28, 4 Th 3.45

Computed properties:
- Total magnetization: 0.0 μB per formula unit
- Fermi-level density of states: 3.243 states/eV/f.u.
- Volume: 31.087 Å³ per atom

iii.
The following is a GGA-PBE calculation of crystalline TbThPb at its relaxed geometry, from Alexandria via LeMat-Bulk.

abc: 5.8355 20.9806 3.4952
angles: 90.00 90.00 90.00
Last column: nearest neighbours and their distance in Å.
Space group Cmcm (No. 63)
Unique sites:
Tb 0.0000 0.1310 0.2500  2 Pb 3.24, 4 Th 3.49-3.54, 2 Tb 3.50
Th 0.0000 0.2778 0.7500  1 Pb 3.33, 4 Tb 3.49-3.54, 6 Th 3.50-3.60
Pb 0.0000 0.4364 0.7500  4 Pb 3.19-3.50, 2 Tb 3.24, 1 Th 3.33

Computed properties:
- Total magnetization: 0.0 μB per formula unit
- Fermi-level density of states: 2.472 states/eV/f.u.
- Volume: 35.660 Å³ per atom

iv.
The following is a GGA-PBE calculation of crystalline TbThPb at its relaxed geometry, from Alexandria via LeMat-Bulk.

abc: 3.3307 3.3307 18.4261
angles: 90.00 90.00 90.00
Last column: nearest neighbours and their distance in Å.
Space group I4mm (No. 107)
Unique sites:
Tb 0.0000 0.0000 0.0000  1 Pb 3.17, 4 Tb 3.33, 1 Th 3.47
Th 0.0000 0.0000 0.1881  4 Th 3.33, 1 Tb 3.47, 4 Pb 3.49
Pb 0.0000 0.0000 0.8279  1 Tb 3.17, 4 Pb 3.33, 4 Th 3.49

Computed properties:
- Total magnetization: 0.4 μB per formula unit
- Fermi-level density of states: 5.130 states/eV/f.u.
- Volume: 34.070 Å³ per atom

Stability, lowest: iv